The following is a PBE calculation of an optimized crystal structure of AcHo3Hg4, from Alexandria via LeMat-Bulk.

Values from the calculation:
Volume in Å³/cell: 219
Crystal system: tetragonal
Energy of formation from the pure elements in eV/atom: -0.441
DFT total energy in eV per atom: -2.82

Unit cell a=5.328 b=5.328 c=7.725 alpha=90.00 beta=90.00 gamma=90.00
Fractional positions:
Ac 0.000 0.000 0.000
Ho 0.000 0.000 0.500
Ho 0.500 0.500 0.000
Ho 0.500 0.500 0.500
Hg 0.000 0.500 0.273
Hg 0.000 0.500 0.727
Hg 0.500 0.000 0.273
Hg 0.500 0.000 0.727

=====

The following is a PBE calculation of an optimized crystal structure of Fe2PbAu, from Alexandria via LeMat-Bulk.

Values from the calculation:
Volume in Å³/cell: 138
Crystal system: orthorhombic
Energy of formation from the pure elements in eV/atom: 0.360
DFT total energy in eV per atom: -5.62

Unit cell a=3.235 b=4.535 c=9.391 alpha=90.00 beta=90.00 gamma=90.00
Fractional positions:
Fe 0.000 0.000 0.000
Fe 0.000 0.500 0.309
Fe 0.500 0.000 0.809
Fe 0.500 0.500 0.500
Pb 0.000 0.500 0.777
Pb 0.500 0.000 0.277
Au 0.000 0.000 0.556
Au 0.500 0.500 0.056

=====

The following is a PBE calculation of an optimized crystal structure of NaPO4, from Alexandria via LeMat-Bulk.

Values from the calculation:
ΔE_f (raw) in eV/atom: -1.538
Volume in Å³/cell: 745
Crystal system: monoclinic
DFT total energy in eV per atom: -5.96
ΔE to the lowest computed polymorph in meV/atom: 280

Unit cell a=7.291 b=14.243 c=7.269 alpha=90.00 beta=99.45 gamma=90.00
Fractional positions:
Na 0.174 0.099 0.026
Na 0.174 0.401 0.526
Na 0.231 0.599 0.859
Na 0.231 0.901 0.359
Na 0.769 0.099 0.641
Na 0.769 0.401 0.141
Na 0.826 0.599 0.474
Na 0.826 0.901 0.974
P 0.237 0.130 0.545
P 0.237 0.370 0.045
P 0.294 0.628 0.394
P 0.294 0.872 0.894
P 0.706 0.128 0.106
P 0.706 0.372 0.606
P 0.763 0.630 0.955
P 0.763 0.870 0.455
O 0.107 0.104 0.684
O 0.107 0.396 0.184
O 0.174 0.578 0.517
O 0.174 0.922 0.017
O 0.197 0.236 0.519
O 0.197 0.264 0.019
O 0.201 0.074 0.362
O 0.201 0.426 0.862
O 0.250 0.597 0.188
O 0.250 0.903 0.688
O 0.253 0.735 0.379
O 0.253 0.765 0.879
O 0.443 0.108 0.618
O 0.443 0.392 0.118
O 0.499 0.112 0.029
O 0.499 0.388 0.529
O 0.501 0.612 0.471
O 0.501 0.888 0.971
O 0.557 0.608 0.882
O 0.557 0.892 0.382
O 0.747 0.235 0.121
O 0.747 0.265 0.621
O 0.750 0.097 0.312
O 0.750 0.403 0.812
O 0.799 0.574 0.138
O 0.799 0.926 0.638
O 0.803 0.736 0.981
O 0.803 0.764 0.481
O 0.826 0.078 0.983
O 0.826 0.422 0.483
O 0.893 0.604 0.816
O 0.893 0.896 0.316